(1)
First-principles (PBE) data for a geometry-optimized Ac2PrEr structure, as listed in the Alexandria database.

Crystal system: tetragonal
Energy of formation from the pure elements, meV/atom: 41.7

Structure (CIF):
```
data_Ac2PrEr
_chemical_formula_sum 'Ac2 Pr1 Er1'
_symmetry_space_group_name_H-M 'P 1'
_symmetry_Int_Tables_number 1
_symmetry_space_group_name_Hall 'P 1'
_cell_length_a 5.258
_cell_length_b 5.419
_cell_length_c 5.419
_cell_angle_alpha 90.00
_cell_angle_beta 90.00
_cell_angle_gamma 90.00
loop_
_atom_site_label
_atom_site_fract_x
_atom_site_fract_y
_atom_site_fract_z
Er1 0.500 0.500 0.500
Ac1 0.000 0.500 0.000
Ac2 0.000 0.000 0.500
Pr1 0.500 0.000 0.000
```

---

(2)
First-principles (PBE) data for a geometry-optimized AcHo2In structure, as listed in the Alexandria database.

Crystal system: trigonal
Energy of formation from the pure elements, meV/atom: 62.9

Structure (CIF):
```
data_AcHo2In
_chemical_formula_sum 'Ac1 Ho2 In1'
_symmetry_space_group_name_H-M 'P 1'
_symmetry_Int_Tables_number 1
_symmetry_space_group_name_Hall 'P 1'
_cell_length_a 3.614
_cell_length_b 3.614
_cell_length_c 12.178
_cell_angle_alpha 81.47
_cell_angle_beta 81.47
_cell_angle_gamma 60.00
loop_
_atom_site_label
_atom_site_fract_x
_atom_site_fract_y
_atom_site_fract_z
Ac1 0.000 0.000 0.000
In1 0.500 0.500 0.500
Ho1 0.100 0.100 0.701
Ho2 0.900 0.900 0.299
```

---

(3)
First-principles (PBE) data for a geometry-optimized LaRh2Br structure, as listed in the Alexandria database.

Crystal system: tetragonal
Uncorrected formation energy, eV per atom: -0.272

Structure (CIF):
```
data_LaRh2Br
_chemical_formula_sum 'La1 Rh2 Br1'
_symmetry_space_group_name_H-M 'P 1'
_symmetry_Int_Tables_number 1
_symmetry_space_group_name_Hall 'P 1'
_cell_length_a 5.389
_cell_length_b 5.389
_cell_length_c 5.389
_cell_angle_alpha 134.08
_cell_angle_beta 134.08
_cell_angle_gamma 66.96
loop_
_atom_site_label
_atom_site_fract_x
_atom_site_fract_y
_atom_site_fract_z
Rh1 0.000 0.000 0.000
Rh2 0.500 0.500 0.000
Br1 0.250 0.750 0.500
La1 0.750 0.250 0.500
```

---

(4)
First-principles (PBE) data for a geometry-optimized GeO2 structure, as listed in the Alexandria database.

Crystal system: trigonal
Uncorrected formation energy, eV per atom: -0.209

Structure (CIF):
```
data_GeO2
_chemical_formula_sum 'Ge3 O6'
_symmetry_space_group_name_H-M 'P 1'
_symmetry_Int_Tables_number 1
_symmetry_space_group_name_Hall 'P 1'
_cell_length_a 5.006
_cell_length_b 5.006
_cell_length_c 5.353
_cell_angle_alpha 90.00
_cell_angle_beta 90.00
_cell_angle_gamma 120.00
loop_
_atom_site_label
_atom_site_fract_x
_atom_site_fract_y
_atom_site_fract_z
Ge1 0.778 0.000 0.333
Ge2 0.000 0.778 0.667
Ge3 0.222 0.222 0.000
O1 0.581 0.613 0.858
O2 0.613 0.581 0.142
O3 0.387 0.968 0.192
O4 0.968 0.387 0.808
O5 0.032 0.419 0.525
O6 0.419 0.032 0.475
```

---

(5)
First-principles (PBE) data for a geometry-optimized LaDyTmMg structure, as listed in the Alexandria database.

Crystal system: cubic
Energy of formation from the pure elements, meV/atom: 20.3

Structure (CIF):
```
data_LaDyTmMg
_chemical_formula_sum 'La1 Dy1 Tm1 Mg1'
_symmetry_space_group_name_H-M 'P 1'
_symmetry_Int_Tables_number 1
_symmetry_space_group_name_Hall 'P 1'
_cell_length_a 5.575
_cell_length_b 5.575
_cell_length_c 5.575
_cell_angle_alpha 60.00
_cell_angle_beta 60.00
_cell_angle_gamma 60.00
loop_
_atom_site_label
_atom_site_fract_x
_atom_site_fract_y
_atom_site_fract_z
La1 0.750 0.750 0.750
Tm1 0.500 0.500 0.500
Dy1 0.250 0.250 0.250
Mg1 0.000 0.000 0.000
```

---

(6)
First-principles (PBE) data for a geometry-optimized Li2BeGaOs structure, as listed in the Alexandria database.

Crystal system: tetragonal
Energy of formation from the pure elements, meV/atom: 373.9

Structure (CIF):
```
data_Li2BeGaOs
_chemical_formula_sum 'Li2 Be1 Ga1 Os1'
_symmetry_space_group_name_H-M 'P 1'
_symmetry_Int_Tables_number 1
_symmetry_space_group_name_Hall 'P 1'
_cell_length_a 4.005
_cell_length_b 4.255
_cell_length_c 4.005
_cell_angle_alpha 90.00
_cell_angle_beta 90.00
_cell_angle_gamma 90.00
loop_
_atom_site_label
_atom_site_fract_x
_atom_site_fract_y
_atom_site_fract_z
Li1 0.500 0.000 0.000
Li2 0.000 0.000 0.500
Ga1 0.500 0.500 0.500
Be1 0.000 0.000 0.000
Os1 0.000 0.500 0.000
```